1.
! PBE Ce5In2Pb2, optimized geometry; values from VASP
&SYSTEM
  ibrav = 0, nat = 18, ntyp = 3
/
ATOMIC_SPECIES
Ce 140.12 Ce.upf
In 114.82 In.upf
Pb 207.20 Pb.upf
CELL_PARAMETERS angstrom
8.399 0.000 0.000
0.000 8.416 0.000
0.000 -4.208 8.013
ATOMIC_POSITIONS crystal
Ce 0.000 0.000 0.000
Ce 0.500 0.500 0.000
Ce 0.822 0.820 0.276
Ce 0.178 0.456 0.276
Ce 0.322 0.956 0.276
Ce 0.678 0.320 0.276
Ce 0.178 0.180 0.724
Ce 0.822 0.544 0.724
Ce 0.678 0.044 0.724
Ce 0.322 0.680 0.724
In 0.622 0.879 0.000
In 0.378 0.121 0.000
In 0.122 0.621 0.000
In 0.878 0.379 0.000
Pb 0.000 0.210 0.420
Pb 0.500 0.710 0.420
Pb 0.000 0.790 0.580
Pb 0.500 0.290 0.580
! crystal system: orthorhombic
! electronic total energy: -5.0272 eV/atom
! volume: 566.5 Å³/cell
! E_form: -0.298 eV per atom
! density: 7.88 Mg/m³


2.
! PBE KSb2As, optimized geometry; values from VASP
&SYSTEM
  ibrav = 0, nat = 4, ntyp = 3
/
ATOMIC_SPECIES
As 74.92 As.upf
K 39.10 K.upf
Sb 121.76 Sb.upf
CELL_PARAMETERS angstrom
-5.607 0.390 2.102
-3.988 -2.743 3.548
0.100 2.722 5.787
ATOMIC_POSITIONS crystal
As 0.525 0.525 0.376
K 0.764 0.764 0.747
Sb 0.972 0.972 0.110
Sb 0.239 0.239 0.267
! crystal system: monoclinic
! electronic total energy: -3.6333 eV/atom
! volume: 130.1 Å³/cell
! ΔE_f (raw): -13.1 kJ per mole of atoms
! density: 4.56 Mg/m³


3.
! PBE AcThSe2, optimized geometry; values from VASP
&SYSTEM
  ibrav = 0, nat = 8, ntyp = 3
/
ATOMIC_SPECIES
Ac 227.00 Ac.upf
Th 232.04 Th.upf
Se 78.96 Se.upf
CELL_PARAMETERS angstrom
4.214 0.000 0.000
-2.107 3.650 0.000
0.000 0.000 14.995
ATOMIC_POSITIONS crystal
Ac 0.667 0.333 0.250
Ac 0.333 0.667 0.750
Th 0.000 0.000 0.500
Th 0.000 0.000 0.000
Se 0.333 0.667 0.383
Se 0.667 0.333 0.883
Se 0.667 0.333 0.617
Se 0.333 0.667 0.117
! crystal system: hexagonal
! electronic total energy: -6.2744 eV/atom
! volume: 230.6 Å³/cell
! ΔE_f (raw): -159.2 kJ per mole of atoms
! E above lowest polymorph: 0.11 eV/f.u.
! density: 8.88 Mg/m³


4.
! PBE LaPr2Au, optimized geometry; values from VASP
&SYSTEM
  ibrav = 0, nat = 4, ntyp = 3
/
ATOMIC_SPECIES
Pr 140.91 Pr.upf
Au 196.97 Au.upf
La 138.91 La.upf
CELL_PARAMETERS angstrom
-2.162 1.707 2.502
2.585 -2.792 4.139
3.776 4.143 0.436
ATOMIC_POSITIONS crystal
Pr 0.000 0.000 0.500
Pr 0.000 0.500 0.000
Au 0.500 0.000 0.000
La 0.500 0.500 0.500
! crystal system: tetragonal
! electronic total energy: -4.6692 eV/atom
! volume: 117.6 Å³/cell
! E_form: -0.228 eV per atom
! E above lowest polymorph: 0.66 eV/f.u.
! density: 8.72 Mg/m³


5.
! PBE Tb4As3, optimized geometry; values from VASP
&SYSTEM
  ibrav = 0, nat = 14, ntyp = 2
/
ATOMIC_SPECIES
Tb 158.93 Tb.upf
As 74.92 As.upf
CELL_PARAMETERS angstrom
-7.425 -0.097 1.508
3.170 -6.410 2.504
3.205 5.926 3.469
ATOMIC_POSITIONS crystal
Tb 0.365 0.500 0.000
Tb 0.500 0.365 0.500
Tb 0.000 0.000 0.365
Tb 0.635 0.135 0.135
Tb 0.000 0.000 0.865
Tb 0.135 0.635 0.635
Tb 0.865 0.500 0.000
Tb 0.500 0.865 0.500
As 0.125 0.375 0.250
As 0.625 0.750 0.875
As 0.875 0.250 0.625
As 0.250 0.875 0.125
As 0.750 0.625 0.375
As 0.375 0.125 0.750
! crystal system: cubic
! electronic total energy: -5.9052 eV/atom
! volume: 334.9 Å³/cell
! E_form: -1.267 eV per atom
! E above lowest polymorph: 0.02 eV/f.u.
! density: 8.53 Mg/m³


6.
! PBE TcIr2Ru, optimized geometry; values from VASP
&SYSTEM
  ibrav = 0, nat = 8, ntyp = 3
/
ATOMIC_SPECIES
Ru 101.07 Ru.upf
Ir 192.22 Ir.upf
Tc 98.00 Tc.upf
CELL_PARAMETERS angstrom
-4.861 0.117 2.696
-2.276 -3.162 -3.967
-2.130 -6.060 2.157
ATOMIC_POSITIONS crystal
Ru 0.000 0.000 0.000
Ru 0.750 0.250 0.500
Ir 0.626 0.125 0.250
Ir 0.124 0.625 0.250
Ir 0.375 0.374 0.750
Ir 0.875 0.876 0.750
Tc 0.500 0.500 0.000
Tc 0.250 0.750 0.500
! crystal system: tetragonal
! electronic total energy: -8.3803 eV/atom
! volume: 170.6 Å³/cell
! E_form: 0.961 eV per atom
! E above lowest polymorph: 4.51 eV/f.u.
! density: 11.36 Mg/m³